The following is a DFT calculation (PBE+U) of a relaxed KCoP3O9 crystal.

Structure (POSCAR):
```
KCoP3O9
1.0
-1.5675 -5.2093 -2.9893
4.5460 -1.4508 3.9696
-4.9106 1.7346 3.3772
O P K Co
9 3 1 1
Cartesian
-1.3605 0.1870 1.5127
1.2127 -1.0188 1.2906
-3.0748 -3.9425 2.9168
-3.5510 -0.8978 1.9431
1.2721 -1.1762 3.7669
-0.8760 -1.7784 -0.4941
-1.1665 -3.0346 4.7891
-0.1577 -4.1377 -0.2145
-0.4555 -4.9963 2.8870
0.3421 -5.6610 -0.5063
1.7176 -1.0387 5.3283
-5.1460 -1.1682 2.1387
-0.9700 -2.4728 2.1877
-1.9182 -4.8901 4.3263
```

Calculated values
- V: 14.1 A^3/atom
- Uncorrected energy: -95.239 eV/f.u.
- SG: R3, No. 146